[1]
The following is a PBE calculation of a relaxed structure of AlCoSi2, from Alexandria via LeMat-Bulk.

Lattice parameters (Å, degrees): 4.3954 4.3954 2.7823 90.47 90.47 109.36
With the nearest neighbours (Å) after each atom.
Element x y z (fractional)
Al 0.0000 0.0000 0.0000  2 Co 2.54, 8 Si 2.59-2.61, 2 Al 2.78
Co 0.5000 0.5000 0.0000  2 Al 2.54, 8 Si 2.59-2.61, 2 Co 2.78
Si 0.0000 0.5000 0.5000  4 Si 2.54-2.78, 4 Co 2.59-2.61, 4 Al 2.59-2.61
Si 0.5000 0.0000 0.5000  4 Si 2.54-2.78, 4 Co 2.59-2.61, 4 Al 2.59-2.61

Results
Total energy (hartree per atom): -0.1989
Theoretical density (g/cm³): 4.65
Space-group type: C2/m, No. 12
Total moment (μB/atom): 0.0000
Uncorrected formation energy (meV per atom): 12.1

[2]
The following is a PBE calculation of a relaxed structure of BaRe2As, from Alexandria via LeMat-Bulk.

Lattice parameters (Å, degrees): 6.0551 6.0551 6.0551 148.67 121.11 68.23
With the nearest neighbours (Å) after each atom.
Element x y z (fractional)
Ba 0.0000 0.0000 0.0000  2 As 3.27, 2 Ba 3.27, 6 Re 3.39-3.40
Re 0.4884 0.4884 0.0000  2 Re 2.39, 2 As 2.64
Re 0.6625 0.1625 0.5000  2 Re 2.39
As 0.2820 0.7820 0.5000  2 Re 2.64

Results
Total energy (hartree per atom): -0.2596
Theoretical density (g/cm³): 9.95
Calculated formation energy (eV/f.u.): 3.21
Space-group type: Imm2, No. 44
Total moment (μB/atom): 0.0003

[3]
The following is a PBE calculation of a relaxed structure of Na2Mg3In8, from Alexandria via LeMat-Bulk.

Lattice parameters (Å, degrees): 11.9840 11.9840 11.9840 29.56 29.56 29.56
With the nearest neighbours (Å) after each atom.
Element x y z (fractional)
Na 0.1359 0.1359 0.1359  4 In 3.08-3.34
Na 0.8641 0.8641 0.8641  4 In 3.08-3.34
Mg 0.3131 0.3131 0.3131  10 In 3.01-3.26
Mg 0.5000 0.5000 0.5000  6 Na 3.69, 6 In 4.07
Mg 0.6869 0.6869 0.6869  10 In 3.01-3.26
In 0.2194 0.2194 0.7209  4 In 3.05-3.07, 3 Mg 3.08-3.26, 1 Na 3.34
In 0.2194 0.7209 0.2194  4 In 3.05-3.07, 3 Mg 3.08-3.26, 1 Na 3.34
In 0.2255 0.2255 0.2255  1 Mg 3.01, 1 Na 3.08
In 0.2791 0.7806 0.7806  4 In 3.05-3.07, 3 Mg 3.08-3.26, 1 Na 3.34
In 0.7209 0.2194 0.2194  4 In 3.05-3.07, 3 Mg 3.08-3.26, 1 Na 3.34
In 0.7745 0.7745 0.7745  1 Mg 3.01, 1 Na 3.08
In 0.7806 0.2791 0.7806  4 In 3.05-3.07, 3 Mg 3.08-3.26, 1 Na 3.34
In 0.7806 0.7806 0.2791  4 In 3.05-3.07, 3 Mg 3.08-3.26, 1 Na 3.34

Results
Total energy (hartree per atom): -0.0803
Theoretical density (g/cm³): 4.64
Calculated formation energy (eV/f.u.): 0.92
Space-group type: R-3m, No. 166
Total moment (μB/atom): 0.0000

[4]
The following is a PBE calculation of a relaxed structure of MnReTe2, from Alexandria via LeMat-Bulk.

Lattice parameters (Å, degrees): 4.8400 4.8400 4.8400 60.00 60.00 60.00
With the nearest neighbours (Å) after each atom.
Element x y z (fractional)
Mn 0.0000 0.0000 0.0000  4 Re 2.96, 4 Te 2.96
Re 0.7500 0.7500 0.7500  4 Mn 2.96, 4 Te 2.96
Te 0.2500 0.2500 0.2500  4 Mn 2.96, 4 Te 2.96
Te 0.5000 0.5000 0.5000  4 Re 2.96, 4 Te 2.96

Results
Total energy (hartree per atom): -0.2166
Theoretical density (g/cm³): 10.28
Space-group type: F-43m, No. 216
Energy relative to the lowest polymorph listed for this composition (meV/atom): 997.9
Total moment (μB/atom): 1.0251
Uncorrected formation energy (meV per atom): 1081.5